No. 1
Density functional theory data (GGA-PBE) for a relaxed structure of ZnGa2TeIr.

abc: 5.6213 5.6213 4.8694
angles: 90.00 90.00 90.00
Sites, in units of the cell vectors:
Zn 0.0000 0.0000 0.0000
Ga 0.0000 0.5000 0.5000
Ga 0.5000 0.0000 0.5000
Te 0.5000 0.5000 0.5000
Ir 0.5000 0.5000 0.0000

## Properties
Uncorrected formation energy, eV/atom: 0.96
Space-group type: P4/mmm
Magnetic moment, μB/f.u.: 0.000
DOS(E_F), states/eV/f.u.: 3.92



No. 2
Density functional theory data (GGA-PBE) for a relaxed structure of ThGa4Ir2.

abc: 17.4356 4.3611 6.6262
angles: 90.00 90.00 90.00
Sites, in units of the cell vectors:
Th 0.1399 0.2500 0.0104
Th 0.3601 0.7500 0.5104
Th 0.6399 0.2500 0.4896
Th 0.8601 0.7500 0.9896
Ga 0.0353 0.7500 0.8349
Ga 0.0705 0.2500 0.4965
Ga 0.1848 0.7500 0.3195
Ga 0.1888 0.7500 0.7183
Ga 0.3112 0.2500 0.2183
Ga 0.3152 0.2500 0.8195
Ga 0.4295 0.7500 0.9965
Ga 0.4647 0.2500 0.3349
Ga 0.5353 0.7500 0.6651
Ga 0.5705 0.2500 0.0035
Ga 0.6848 0.7500 0.1805
Ga 0.6888 0.7500 0.7817
Ga 0.8112 0.2500 0.2817
Ga 0.8152 0.2500 0.6805
Ga 0.9295 0.7500 0.5035
Ga 0.9647 0.2500 0.1651
Ir 0.0376 0.7500 0.2418
Ir 0.2167 0.2500 0.5202
Ir 0.2833 0.7500 0.0202
Ir 0.4624 0.2500 0.7418
Ir 0.5376 0.7500 0.2582
Ir 0.7167 0.2500 0.9798
Ir 0.7833 0.7500 0.4798
Ir 0.9624 0.2500 0.7582

## Properties
Space-group type: Pnma
Energy of formation from the pure elements, eV/atom: -0.644
Magnetic moment, μB/f.u.: 0.000
DOS(E_F), states/eV/f.u.: 3.24
E above lowest polymorph, meV/atom: 0



No. 3
Density functional theory data (GGA-PBE) for a relaxed structure of Th2Ga8Ir.

abc: 4.4235 4.4235 11.4437
angles: 90.00 90.00 90.00
Sites, in units of the cell vectors:
Th 0.0000 0.0000 0.1957
Th 0.0000 0.0000 0.8043
Ga 0.0000 0.5000 0.0000
Ga 0.0000 0.5000 0.3821
Ga 0.0000 0.5000 0.6179
Ga 0.5000 0.0000 0.0000
Ga 0.5000 0.0000 0.3821
Ga 0.5000 0.0000 0.6179
Ga 0.5000 0.5000 0.1980
Ga 0.5000 0.5000 0.8020
Ir 0.0000 0.0000 0.5000

## Properties
Space-group type: P4/mmm
Energy of formation from the pure elements, eV/atom: -0.526
Magnetic moment, μB/f.u.: 0.000
DOS(E_F), states/eV/f.u.: 3.25



No. 4
Density functional theory data (GGA-PBE) for a relaxed structure of ThGa2Ir4.

abc: 7.7768 7.7768 3.9891
angles: 90.00 90.00 90.00
Sites, in units of the cell vectors:
Th 0.0000 0.0000 0.0000
Th 0.5000 0.5000 0.5000
Ga 0.2233 0.2233 0.5000
Ga 0.2767 0.7233 0.0000
Ga 0.7233 0.2767 0.0000
Ga 0.7767 0.7767 0.5000
Ir 0.0785 0.6536 0.5000
Ir 0.1536 0.4215 0.0000
Ir 0.3464 0.9215 0.5000
Ir 0.4215 0.1536 0.0000
Ir 0.5785 0.8464 0.0000
Ir 0.6536 0.0785 0.5000
Ir 0.8464 0.5785 0.0000
Ir 0.9215 0.3464 0.5000

## Properties
Space-group type: P4_2/mnm
Energy of formation from the pure elements, eV/atom: -0.557
Magnetic moment, μB/f.u.: 0.000
DOS(E_F), states/eV/f.u.: 4.14



No. 5
Density functional theory data (GGA-PBE) for a relaxed structure of Th2GaIr.

abc: 6.0293 4.1444 8.5218
angles: 90.00 109.20 90.00
Sites, in units of the cell vectors:
Th 0.1855 0.2500 0.4071
Th 0.2762 0.7500 0.0557
Th 0.7238 0.2500 0.9443
Th 0.8145 0.7500 0.5929
Ga 0.3644 0.7500 0.7040
Ga 0.6356 0.2500 0.2960
Ir 0.1155 0.2500 0.8004
Ir 0.8845 0.7500 0.1996

## Properties
Space-group type: P2_1/m
Energy of formation from the pure elements, eV/atom: -0.726
Magnetic moment, μB/f.u.: 0.000
DOS(E_F), states/eV/f.u.: 4.73



No. 6
Density functional theory data (GGA-PBE) for a relaxed structure of ThGa2Ir.

abc: 9.5713 9.5713 9.5713
angles: 153.76 121.69 65.03
Sites, in units of the cell vectors:
Th 0.2086 0.2086 0.0000
Th 0.2411 0.0000 0.2411
Th 0.7589 0.0000 0.7589
Th 0.7914 0.7914 0.0000
Ga 0.0750 0.5750 0.5000
Ga 0.1527 0.8047 0.3480
Ga 0.4171 0.4171 0.0000
Ga 0.4566 0.8047 0.6520
Ga 0.5434 0.1953 0.3480
Ga 0.5829 0.5829 0.0000
Ga 0.8473 0.1953 0.6520
Ga 0.9250 0.4250 0.5000
Ir 0.1046 0.3597 0.7450
Ir 0.3853 0.6403 0.7450
Ir 0.6147 0.3597 0.2550
Ir 0.8954 0.6403 0.2550

## Properties
Space-group type: Immm
Energy of formation from the pure elements, eV/atom: -0.715
Magnetic moment, μB/f.u.: 0.000
DOS(E_F), states/eV/f.u.: 3.00



No. 7
Density functional theory data (GGA-PBE) for a relaxed structure of Th2Ga5Ir3.

abc: 8.6644 8.6644 8.6644
angles: 107.94 85.28 140.73
Sites, in units of the cell vectors:
Th 0.1392 0.2247 0.3639
Th 0.3608 0.7247 0.0855
Th 0.6392 0.2753 0.9145
Th 0.8608 0.7753 0.6361
Ga 0.0427 0.7500 0.2927
Ga 0.0920 0.6654 0.7574
Ga 0.2500 0.2500 0.0000
Ga 0.4080 0.1654 0.5734
Ga 0.4573 0.7500 0.7073
Ga 0.5427 0.2500 0.2927
Ga 0.5920 0.8346 0.4266
Ga 0.7500 0.7500 0.0000
Ga 0.9080 0.3346 0.2426
Ga 0.9573 0.2500 0.7073
Ir 0.1492 0.8983 0.0474
Ir 0.2500 0.7500 0.5000
Ir 0.3508 0.3983 0.7491
Ir 0.6492 0.6017 0.2509
Ir 0.7500 0.2500 0.5000
Ir 0.8508 0.1017 0.9526

## Properties
Space-group type: Ibam
Energy of formation from the pure elements, eV/atom: -0.769
Magnetic moment, μB/f.u.: 0.000
DOS(E_F), states/eV/f.u.: 3.31
E above lowest polymorph, meV/atom: 0



No. 8
Density functional theory data (GGA-PBE) for a relaxed structure of ThGa4Ir4.

abc: 5.9442 5.9442 8.7708
angles: 90.00 90.00 90.00
Sites, in units of the cell vectors:
Th 0.2500 0.7500 0.2500
Th 0.7500 0.2500 0.7500
Ga 0.0268 0.2500 0.1604
Ga 0.2500 0.0268 0.6604
Ga 0.2500 0.4732 0.6604
Ga 0.4732 0.2500 0.1604
Ga 0.5268 0.7500 0.8396
Ga 0.7500 0.5268 0.3396
Ga 0.7500 0.9732 0.3396
Ga 0.9732 0.7500 0.8396
Ir 0.0182 0.2500 0.4570
Ir 0.2500 0.0182 0.9570
Ir 0.2500 0.4818 0.9570
Ir 0.4818 0.2500 0.4570
Ir 0.5182 0.7500 0.5430
Ir 0.7500 0.5182 0.0430
Ir 0.7500 0.9818 0.0430
Ir 0.9818 0.7500 0.5430

## Properties
Space-group type: P4_2/nmc
Energy of formation from the pure elements, eV/atom: -0.498
Magnetic moment, μB/f.u.: 0.000
DOS(E_F), states/eV/f.u.: 4.81



No. 9
Density functional theory data (GGA-PBE) for a relaxed structure of Th3Ga2Ir7.

abc: 8.9317 8.9317 8.9317
angles: 36.14 36.14 36.14
Sites, in units of the cell vectors:
Th 0.0000 0.0000 0.0000
Th 0.1405 0.1405 0.1405
Th 0.8595 0.8595 0.8595
Ga 0.3345 0.3345 0.3345
Ga 0.6655 0.6655 0.6655
Ir 0.0786 0.5819 0.5819
Ir 0.4181 0.4181 0.9214
Ir 0.4181 0.9214 0.4181
Ir 0.5000 0.5000 0.5000
Ir 0.5819 0.0786 0.5819
Ir 0.5819 0.5819 0.0786
Ir 0.9214 0.4181 0.4181

## Properties
Space-group type: R-3m
Energy of formation from the pure elements, eV/atom: -0.775
Magnetic moment, μB/f.u.: 0.000
DOS(E_F), states/eV/f.u.: 9.84



No. 10
Density functional theory data (GGA-PBE) for a relaxed structure of ThGa2Ir.

abc: 4.2806 4.2806 15.3346
angles: 90.00 90.00 120.00
Sites, in units of the cell vectors:
Th 0.0000 0.0000 0.0000
Th 0.3333 0.6667 0.6667
Th 0.6667 0.3333 0.3333
Ga 0.0000 0.0000 0.2140
Ga 0.0000 0.0000 0.7860
Ga 0.3333 0.6667 0.4527
Ga 0.3333 0.6667 0.8806
Ga 0.6667 0.3333 0.1194
Ga 0.6667 0.3333 0.5473
Ir 0.0000 0.0000 0.5000
Ir 0.3333 0.6667 0.1667
Ir 0.6667 0.3333 0.8333

## Properties
Space-group type: R-3m
Energy of formation from the pure elements, eV/atom: -0.636
Magnetic moment, μB/f.u.: 0.000
DOS(E_F), states/eV/f.u.: 2.73



No. 11
Density functional theory data (GGA-PBE) for a relaxed structure of ThGa6Ir2.

abc: 4.8832 4.8832 9.2232
angles: 90.00 90.00 120.00
Sites, in units of the cell vectors:
Th 0.0000 0.0000 0.0000
Ga 0.0000 0.3395 0.7210
Ga 0.0000 0.6605 0.2790
Ga 0.3395 0.0000 0.7210
Ga 0.3395 0.3395 0.2790
Ga 0.6605 0.0000 0.2790
Ga 0.6605 0.6605 0.7210
Ir 0.3333 0.6667 0.5000
Ir 0.6667 0.3333 0.5000

## Properties
Space-group type: P-31m
Energy of formation from the pure elements, eV/atom: -0.046
Magnetic moment, μB/f.u.: 0.000
DOS(E_F), states/eV/f.u.: 5.81



No. 12
Density functional theory data (GGA-PBE) for a relaxed structure of Th4GaIr.

abc: 7.3821 7.3821 5.9135
angles: 90.00 90.00 90.00
Sites, in units of the cell vectors:
Th 0.1540 0.3300 0.0000
Th 0.1540 0.6700 0.5000
Th 0.3300 0.1540 0.5000
Th 0.3300 0.8460 0.0000
Th 0.6700 0.1540 0.0000
Th 0.6700 0.8460 0.5000
Th 0.8460 0.3300 0.5000
Th 0.8460 0.6700 0.0000
Ga 0.5000 0.5000 0.2500
Ga 0.5000 0.5000 0.7500
Ir 0.0000 0.0000 0.2500
Ir 0.0000 0.0000 0.7500

## Properties
Space-group type: P4/mcc
Energy of formation from the pure elements, eV/atom: -0.494
Magnetic moment, μB/f.u.: 0.000
DOS(E_F), states/eV/f.u.: 7.53



No. 13
Density functional theory data (GGA-PBE) for a relaxed structure of Th4Ga12Ir.

abc: 7.6502 7.6502 7.6502
angles: 109.47 109.47 109.47
Sites, in units of the cell vectors:
Th 0.0000 0.0000 0.5000
Th 0.0000 0.5000 0.0000
Th 0.5000 0.0000 0.0000
Th 0.5000 0.5000 0.5000
Ga 0.0000 0.2957 0.2957
Ga 0.0000 0.7043 0.7043
Ga 0.2500 0.5000 0.7500
Ga 0.2500 0.7500 0.5000
Ga 0.2957 0.0000 0.2957
Ga 0.2957 0.2957 0.0000
Ga 0.5000 0.2500 0.7500
Ga 0.5000 0.7500 0.2500
Ga 0.7043 0.0000 0.7043
Ga 0.7043 0.7043 0.0000
Ga 0.7500 0.2500 0.5000
Ga 0.7500 0.5000 0.2500
Ir 0.0000 0.0000 0.0000

## Properties
Space-group type: Im-3m
Energy of formation from the pure elements, eV/atom: -0.563
Magnetic moment, μB/f.u.: 0.000
DOS(E_F), states/eV/f.u.: 10.03



No. 14
Density functional theory data (GGA-PBE) for a relaxed structure of Th2Ga6Ir9.

abc: 5.5877 5.5877 11.7772
angles: 90.00 90.00 120.00
Sites, in units of the cell vectors:
Th 0.0000 0.0000 0.2066
Th 0.0000 0.0000 0.7934
Ga 0.3333 0.6667 0.1639
Ga 0.3333 0.6667 0.5000
Ga 0.3333 0.6667 0.8361
Ga 0.6667 0.3333 0.1639
Ga 0.6667 0.3333 0.5000
Ga 0.6667 0.3333 0.8361
Ir 0.0000 0.5000 0.0000
Ir 0.0000 0.5000 0.3304
Ir 0.0000 0.5000 0.6696
Ir 0.5000 0.0000 0.0000
Ir 0.5000 0.0000 0.3304
Ir 0.5000 0.0000 0.6696
Ir 0.5000 0.5000 0.0000
Ir 0.5000 0.5000 0.3304
Ir 0.5000 0.5000 0.6696

## Properties
Space-group type: P6/mmm
Energy of formation from the pure elements, eV/atom: -0.468
Magnetic moment, μB/f.u.: 0.000
DOS(E_F), states/eV/f.u.: 11.22



No. 15
Density functional theory data (GGA-PBE) for a relaxed structure of Th2Ga5Ir3.

abc: 12.7545 12.7545 6.9595
angles: 90.00 90.00 160.48
Sites, in units of the cell vectors:
Th 0.0213 0.9787 0.5000
Th 0.3238 0.6762 0.4476
Th 0.6762 0.3238 0.9476
Th 0.9787 0.0213 0.0000
Ga 0.1030 0.8970 0.1427
Ga 0.2051 0.7949 0.6324
Ga 0.2085 0.7915 0.2420
Ga 0.3732 0.6268 0.9871
Ga 0.4460 0.5540 0.3319
Ga 0.5540 0.4460 0.8319
Ga 0.6268 0.3732 0.4871
Ga 0.7915 0.2085 0.7420
Ga 0.7949 0.2051 0.1324
Ga 0.8970 0.1030 0.6427
Ir 0.1076 0.8924 0.7550
Ir 0.2710 0.7290 0.9347
Ir 0.4504 0.5496 0.7181
Ir 0.5496 0.4504 0.2181
Ir 0.7290 0.2710 0.4347
Ir 0.8924 0.1076 0.2550

## Properties
Space-group type: Cmc2_1
Energy of formation from the pure elements, eV/atom: -0.717
Magnetic moment, μB/f.u.: 0.000
DOS(E_F), states/eV/f.u.: 4.91
E above lowest polymorph, meV/atom: 52



No. 16
Density functional theory data (GGA-PBE) for a relaxed structure of ThGa2Ir6.

abc: 7.9172 7.9172 7.9172
angles: 60.00 60.00 60.00
Sites, in units of the cell vectors:
Th 0.1250 0.1250 0.1250
Th 0.8750 0.8750 0.8750
Ga 0.0000 0.5000 0.5000
Ga 0.5000 0.0000 0.5000
Ga 0.5000 0.5000 0.0000
Ga 0.5000 0.5000 0.5000
Ir 0.1181 0.1181 0.6319
Ir 0.1181 0.6319 0.1181
Ir 0.1181 0.6319 0.6319
Ir 0.3681 0.3681 0.8819
Ir 0.3681 0.8819 0.3681
Ir 0.3681 0.8819 0.8819
Ir 0.6319 0.1181 0.1181
Ir 0.6319 0.1181 0.6319
Ir 0.6319 0.6319 0.1181
Ir 0.8819 0.3681 0.3681
Ir 0.8819 0.3681 0.8819
Ir 0.8819 0.8819 0.3681

## Properties
Space-group type: Fd-3m
Energy of formation from the pure elements, eV/atom: 0.191
Magnetic moment, μB/f.u.: 0.000
DOS(E_F), states/eV/f.u.: 14.72



No. 17
Density functional theory data (GGA-PBE) for a relaxed structure of ThGaIr2.

abc: 5.9794 8.3435 7.6884
angles: 90.00 90.00 90.00
Sites, in units of the cell vectors:
Th 0.2500 0.0000 0.1936
Th 0.2500 0.5000 0.3053
Th 0.7500 0.0000 0.8064
Th 0.7500 0.5000 0.6947
Ga 0.2500 0.0000 0.7598
Ga 0.2500 0.5000 0.7234
Ga 0.7500 0.0000 0.2402
Ga 0.7500 0.5000 0.2766
Ir 0.0000 0.0000 0.5000
Ir 0.0000 0.5000 0.0000
Ir 0.2500 0.2389 0.9591
Ir 0.2500 0.7611 0.9591
Ir 0.5000 0.0000 0.5000
Ir 0.5000 0.5000 0.0000
Ir 0.7500 0.2389 0.0409
Ir 0.7500 0.7611 0.0409

## Properties
Space-group type: Pmma
Energy of formation from the pure elements, eV/atom: -0.056
Magnetic moment, μB/f.u.: 0.000
DOS(E_F), states/eV/f.u.: 3.29



No. 18
Density functional theory data (GGA-PBE) for a relaxed structure of Th3Ga9Ir2.

abc: 8.3014 8.3014 8.3014
angles: 149.62 104.88 83.14
Sites, in units of the cell vectors:
Th 0.0000 0.0000 0.0000
Th 0.3270 0.3270 0.0000
Th 0.6730 0.6730 0.0000
Ga 0.0399 0.6688 0.3711
Ga 0.1519 0.8753 0.2766
Ga 0.2977 0.6688 0.6289
Ga 0.4014 0.1247 0.2766
Ga 0.5000 0.0000 0.5000
Ga 0.5986 0.8753 0.7234
Ga 0.7023 0.3312 0.3711
Ga 0.8481 0.1247 0.7234
Ga 0.9601 0.3312 0.6289
Ir 0.2757 0.5000 0.7757
Ir 0.7243 0.5000 0.2243

## Properties
Space-group type: Immm
Energy of formation from the pure elements, eV/atom: -0.593
Magnetic moment, μB/f.u.: 0.000
DOS(E_F), states/eV/f.u.: 6.16



No. 19
Density functional theory data (GGA-PBE) for a relaxed structure of ThGa2Ir5.

abc: 3.9165 7.0321 10.0228
angles: 90.00 90.00 90.00
Sites, in units of the cell vectors:
Th 0.0000 0.0000 0.0000
Th 0.5000 0.5000 0.5000
Ga 0.0000 0.5000 0.2467
Ga 0.0000 0.5000 0.7533
Ga 0.5000 0.0000 0.2533
Ga 0.5000 0.0000 0.7467
Ir 0.0000 0.1966 0.3638
Ir 0.0000 0.1966 0.6362
Ir 0.0000 0.5000 0.0000
Ir 0.0000 0.8034 0.3638
Ir 0.0000 0.8034 0.6362
Ir 0.5000 0.0000 0.5000
Ir 0.5000 0.3034 0.1362
Ir 0.5000 0.3034 0.8638
Ir 0.5000 0.6966 0.1362
Ir 0.5000 0.6966 0.8638

## Properties
Space-group type: Immm
Energy of formation from the pure elements, eV/atom: -0.399
Magnetic moment, μB/f.u.: 0.000
DOS(E_F), states/eV/f.u.: 6.92